An optimized crystal structure of CaLa2Ni2. Source: Alexandria via LeMat-Bulk, functional GGA-PBEsol.

Unit cell a=5.035 b=5.035 c=6.366 alpha=113.30 beta=113.30 gamma=90.00
Sites, in units of the cell vectors:
La (0.337, 0.337, 0.674)
La (0.663, 0.663, 0.326)
Ca (0.000, 0.000, 0.000)
Ni (0.750, 0.250, 0.500)
Ni (0.250, 0.750, 0.500)

Calculated values
Offset from the most stable computed form in meV per atom: 277
Space-group type: I4/mmm

=====

An optimized crystal structure of CaLa2Ni. Source: Alexandria via LeMat-Bulk, functional GGA-PBEsol.

Unit cell a=3.570 b=3.570 c=9.340 alpha=90.00 beta=90.00 gamma=89.82
Sites, in units of the cell vectors:
La (0.000, 0.000, 0.332)
La (0.000, 0.000, 0.668)
Ni (0.500, 0.500, 0.500)
Ca (0.500, 0.500, 0.000)

Calculated values
Offset from the most stable computed form in meV per atom: 0
Space-group type: Cmmm

=====

An optimized crystal structure of CaLaNi2. Source: Alexandria via LeMat-Bulk, functional GGA-PBEsol.

Unit cell a=3.929 b=4.077 c=5.649 alpha=90.00 beta=110.35 gamma=90.00
Sites, in units of the cell vectors:
Ni (0.065, 0.500, 0.130)
Ni (0.191, 0.000, 0.382)
Ca (0.483, 0.000, 0.967)
La (0.762, 0.500, 0.524)

Calculated values
Space-group type: Amm2

=====

An optimized crystal structure of CaLaNi2. Source: Alexandria via LeMat-Bulk, functional GGA-PBEsol.

Unit cell a=3.739 b=4.021 c=6.530 alpha=107.93 beta=106.64 gamma=90.00
Sites, in units of the cell vectors:
La (0.248, 0.748, 0.495)
Ni (0.692, 0.192, 0.385)
Ni (0.072, 0.072, 0.143)
Ca (0.488, 0.488, 0.976)

Calculated values
Space-group type: Imm2

=====

An optimized crystal structure of CaLaNi2. Source: Alexandria via LeMat-Bulk, functional GGA-PBEsol.

Unit cell a=4.010 b=4.010 c=7.479 alpha=74.45 beta=74.45 gamma=60.00
Sites, in units of the cell vectors:
La (0.292, 0.292, 0.124)
Ca (0.462, 0.462, 0.614)
Ni (0.706, 0.706, 0.882)
Ni (0.040, 0.040, 0.881)

Calculated values
Space-group type: R3m

=====

An optimized crystal structure of CaLa2Ni. Source: Alexandria via LeMat-Bulk, functional GGA-PBEsol.

Unit cell a=5.288 b=5.288 c=5.288 alpha=60.00 beta=60.00 gamma=60.00
Sites, in units of the cell vectors:
La (0.750, 0.750, 0.750)
La (0.250, 0.250, 0.250)
Ni (0.500, 0.500, 0.500)
Ca (0.000, 0.000, 0.000)

Calculated values
Offset from the most stable computed form in meV per atom: 347
Space-group type: Fm-3m

=====

An optimized crystal structure of CaLaNi. Source: Alexandria via LeMat-Bulk, functional GGA-PBEsol.

Unit cell a=3.473 b=3.473 c=6.975 alpha=104.41 beta=104.41 gamma=90.00
Sites, in units of the cell vectors:
La (0.712, 0.712, 0.423)
Ni (0.325, 0.325, 0.650)
Ca (0.963, 0.963, 0.927)

Calculated values
Space-group type: I4mm

=====

An optimized crystal structure of CaLaNi2. Source: Alexandria via LeMat-Bulk, functional GGA-PBEsol.

Unit cell a=4.656 b=4.656 c=4.656 alpha=60.00 beta=60.00 gamma=60.00
Sites, in units of the cell vectors:
La (0.250, 0.250, 0.250)
Ni (0.000, 0.000, 0.000)
Ni (0.750, 0.750, 0.750)
Ca (0.500, 0.500, 0.500)

Calculated values
Space-group type: F-43m

=====

Number 1: ΔE_f 0.10 eV per atom. Number 2: ΔE_f -0.07 eV per atom. Number 3: ΔE_f -0.20 eV per atom. Number 4: ΔE_f -0.06 eV per atom. Number 5: ΔE_f -0.19 eV per atom. Number 6: ΔE_f 0.27 eV per atom. Number 7: ΔE_f -0.09 eV per atom. Number 8: ΔE_f 0.16 eV per atom.